ScCrP: relaxed, GGA-PBE.

Crystal system   hexagonal
Formation energy from the elements   -0.5365 eV/atom
E   -7.66 eV per atom
Space group   P-6m2 (187)

Cell lengths 3.9093, 3.9093, 3.5375 Å; angles 90.00, 90.00, 120.00 degrees
With the nearest neighbours (Å) after each atom.
Positions (direct):
1 Sc 0.3333 0.6667 0.5000  6 P 2.87, 6 Cr 2.87
2 Cr 0.0000 0.0000 0.0000  3 P 2.26
3 P 0.6667 0.3333 0.0000  3 Cr 2.26